Here is a PBEsol-optimized structure of CsNa2Hf from the Alexandria database. Energies are from SCAN.

Properties
Calculated formation energy: 1.194 eV per atom
Uncorrected energy: -416.5 eV per cell
Space-group type: I-42d, No. 122

a b c (Å): 9.306 9.306 7.117
angles (deg): 90.00 90.00 90.00
Sites, in units of the cell vectors:
Cs  0.000  0.000  0.000
Cs  0.000  0.500  0.250
Cs  0.500  0.000  0.750
Cs  0.500  0.500  0.500
Na  0.232  0.250  0.625
Na  0.250  0.732  0.875
Na  0.250  0.768  0.375
Na  0.268  0.250  0.125
Na  0.732  0.750  0.125
Na  0.750  0.232  0.375
Na  0.750  0.268  0.875
Na  0.768  0.750  0.625
Hf  0.000  0.000  0.500
Hf  0.000  0.500  0.750
Hf  0.500  0.000  0.250
Hf  0.500  0.500  0.000